# Tm3Pd8 (PBE, optimized geometry)
data_Tm3Pd8
_chemical_formula_sum 'Tm3 Pd8'
_space_group_name_H-M_alt 'P 1'
_space_group_IT_number 1
_cell_length_a 6.143
_cell_length_b 6.143
_cell_length_c 6.143
_cell_angle_alpha 96.88
_cell_angle_beta 96.88
_cell_angle_gamma 96.88
loop_
_space_group_symop_operation_xyz
'x,y,z'
loop_
_atom_site_label
_atom_site_type_symbol
_atom_site_fract_x
_atom_site_fract_y
_atom_site_fract_z
Tm1 Tm 0.000 0.500 0.500
Tm2 Tm 0.500 0.000 0.500
Tm3 Tm 0.500 0.500 0.000
Pd1 Pd 0.043 0.687 0.929
Pd2 Pd 0.071 0.957 0.313
Pd3 Pd 0.313 0.071 0.957
Pd4 Pd 0.360 0.360 0.360
Pd5 Pd 0.640 0.640 0.640
Pd6 Pd 0.687 0.929 0.043
Pd7 Pd 0.929 0.043 0.687
Pd8 Pd 0.957 0.313 0.071
# * SG: R-3 (148)
# * DFT formation energy: -4.69 eV/f.u.
# * uncorrected energy: -59.647 eV for the cell shown

# Ba2CoAu (PBE, optimized geometry)
data_Ba2CoAu
_chemical_formula_sum 'Ba4 Co2 Au2'
_space_group_name_H-M_alt 'P 1'
_space_group_IT_number 1
_cell_length_a 4.483
_cell_length_b 4.571
_cell_length_c 15.586
_cell_angle_alpha 90.00
_cell_angle_beta 90.00
_cell_angle_gamma 90.00
loop_
_space_group_symop_operation_xyz
'x,y,z'
loop_
_atom_site_label
_atom_site_type_symbol
_atom_site_fract_x
_atom_site_fract_y
_atom_site_fract_z
Ba1 Ba 0.000 0.000 0.000
Ba2 Ba 0.000 0.500 0.236
Ba3 Ba 0.500 0.000 0.736
Ba4 Ba 0.500 0.500 0.500
Co1 Co 0.000 0.500 0.643
Co2 Co 0.500 0.000 0.143
Au1 Au 0.000 0.000 0.580
Au2 Au 0.500 0.500 0.080
# * SG: Imm2 (44)
# * DFT formation energy: -0.03 eV/f.u.
# * uncorrected energy: -28.521 eV for the cell shown
# * offset from the most stable computed form: 28 kJ/mol of formula units

Question: What is the formula in the second record?
Answer: Ba2CoAu